First-principles (PBE-GGA) data for NaSrI2O after structural relaxation, as listed in the Alexandria database.

* DOS(E_F): 5.15 states/eV/f.u.
* energy above the lowest structure with this stoichiometry: 0.0 meV per atom

Cell: 6.519 6.519 4.588 Å, 90.00 90.00 90.00°
Space group P4/mmm (No. 123)
Inequivalent atoms, fractional coordinates:
1 Na 0.000 0.000 0.000
2 Sr 0.500 0.500 0.500
3 I 0.000 0.500 0.500
4 O 0.500 0.500 0.000

First-principles (PBE-GGA) data for NaSrI2O after structural relaxation, as listed in the Alexandria database.

* DOS(E_F): 4.16 states/eV/f.u.
* energy above the lowest structure with this stoichiometry: 234.5 meV per atom

Cell: 5.859 5.859 4.450 Å, 90.00 90.00 90.00°
Space group P4/mmm (No. 123)
Inequivalent atoms, fractional coordinates:
1 Na 0.000 0.000 0.000
2 Sr 0.500 0.500 0.500
3 I 0.000 0.500 0.000
4 O 0.000 0.000 0.500

First-principles (PBE-GGA) data for Na3Sr3IO8 after structural relaxation, as listed in the Alexandria database.

Cell: 7.2026 7.2026 16.7386 Å, 90.00 90.00 120.00°
Space group R-3m (No. 166, hexagonal axes)
Inequivalent atoms, fractional coordinates:
1 Na 0.0000 0.5000 0.0000
2 Sr 0.0000 0.5000 0.5000
3 I 0.0000 0.0000 0.5000
4 O 0.0000 0.0000 0.2406
5 O 0.0793 0.5397 0.2326

First-principles (PBE-GGA) data for Na2Sr2IO6 after structural relaxation, as listed in the Alexandria database.

* DOS(E_F): 3.74 states/eV/f.u.

Cell: 6.237 10.623 5.986 Å, 90.00 103.17 90.00°
Space group C2/m (No. 12)
Inequivalent atoms, fractional coordinates:
1 Na 0.000 0.135 0.000
2 Sr 0.000 0.337 0.500
3 I 0.000 0.000 0.500
4 O 0.177 0.140 0.693
5 O 0.218 0.000 0.295

First-principles (PBE-GGA) data for NaSr2IO6 after structural relaxation, as listed in the Alexandria database.

* DOS(E_F): 0.00 states/eV/f.u.
* energy above the lowest structure with this stoichiometry: 0.0 meV per atom

Cell: 5.813 5.948 10.070 Å, 90.00 125.14 90.00°
Space group P2_1/c (No. 14)
Inequivalent atoms, fractional coordinates:
1 Na 0.000 0.000 0.000
2 Sr 0.238 0.045 0.748
3 I 0.500 0.000 0.500
4 O 0.199 0.183 0.463
5 O 0.273 0.739 0.451
6 O 0.358 0.030 0.277

First-principles (PBE-GGA) data for Na3Sr2I3O2 after structural relaxation, as listed in the Alexandria database.

* DOS(E_F): 0.00 states/eV/f.u.

Cell: 4.783 4.783 24.920 Å, 90.00 90.00 90.00°
Space group I4/mmm (No. 139)
Inequivalent atoms, fractional coordinates:
1 Na 0.000 0.000 0.000
2 Na 0.000 0.000 0.370
3 Sr 0.000 0.500 0.250
4 I 0.000 0.000 0.128
5 I 0.000 0.000 0.500
6 O 0.000 0.000 0.278

First-principles (PBE-GGA) data for NaTaIO6 after structural relaxation, as listed in the Alexandria database.

* DOS(E_F): 3.21 states/eV/f.u.

Cell: 5.3989 5.3989 10.5235 Å, 90.00 90.00 120.00°
Space group P-31c (No. 163)
Inequivalent atoms, fractional coordinates:
1 Na 0.0000 0.0000 0.0000
2 Ta 0.3333 0.6667 0.2500
3 I 0.3333 0.6667 0.7500
4 O 0.0010 0.3867 0.6439

First-principles (PBE-GGA) data for Na2TaIO6 after structural relaxation, as listed in the Alexandria database.

* DOS(E_F): 0.00 states/eV/f.u.

Cell: 5.667 5.667 4.428 Å, 90.00 90.00 90.00°
Space group P4mm (No. 99)
Inequivalent atoms, fractional coordinates:
1 Na 0.000 0.500 0.000
2 Ta 0.000 0.000 0.546
3 I 0.500 0.500 0.603
4 O 0.000 0.000 0.133
5 O 0.243 0.243 0.633
6 O 0.500 0.500 0.190

First-principles (PBE-GGA) data for Na2TbIO6 after structural relaxation, as listed in the Alexandria database.

* DOS(E_F): 0.00 states/eV/f.u.

Cell: 5.656 5.757 9.843 Å, 90.00 124.96 90.00°
Space group P2_1/c (No. 14)
Inequivalent atoms, fractional coordinates:
1 Na 0.244 0.034 0.251
2 Tb 0.500 0.000 0.000
3 I 0.000 0.000 0.500
4 O 0.131 0.230 0.951
5 O 0.228 0.687 0.958
6 O 0.314 0.028 0.727

First-principles (PBE-GGA) data for Na3Tb3IO8 after structural relaxation, as listed in the Alexandria database.

* DOS(E_F): 0.36 states/eV/f.u.

Cell: 12.270 6.803 6.719 Å, 90.00 122.74 90.00°
Space group C2/m (No. 12)
Inequivalent atoms, fractional coordinates:
1 Na 0.000 0.000 0.000
2 Na 0.250 0.250 0.500
3 Tb 0.000 0.500 0.500
4 Tb 0.250 0.250 0.000
5 I 0.000 0.000 0.500
6 O 0.023 0.230 0.737
7 O 0.224 0.500 0.743
8 O 0.245 0.500 0.219

First-principles (PBE-GGA) data for NaTbI2O8 after structural relaxation, as listed in the Alexandria database.

* DOS(E_F): 2.21 states/eV/f.u.

Cell: 5.338 5.338 11.848 Å, 90.00 90.00 90.00°
Space group I-4 (No. 82)
Inequivalent atoms, fractional coordinates:
1 Na 0.000 0.000 0.000
2 Tb 0.000 0.500 0.250
3 I 0.000 0.000 0.500
4 I 0.000 0.500 0.750
5 O 0.163 0.243 0.419
6 O 0.185 0.766 0.829

First-principles (PBE-GGA) data for NaTe2IO8 after structural relaxation, as listed in the Alexandria database.

* DOS(E_F): 0.00 states/eV/f.u.

Cell: 5.053 5.753 6.931 Å, 74.90 77.07 80.41°
Space group P-1 (No. 2)
Inequivalent atoms, fractional coordinates:
1 Na 0.000 0.000 0.000
2 Te 0.440 0.422 0.245
3 I 0.000 0.000 0.500
4 O 0.093 0.189 0.644
5 O 0.255 0.147 0.244
6 O 0.280 0.638 0.980
7 O 0.296 0.747 0.565

Energy relative to the elements, uncorrected values (in eV/atom) by entry order: -1.15; -0.92; -1.77; -1.62; -1.80; -1.78; -1.48; -1.64; -1.66; -2.18; -1.04; -0.80.
Magnetic moment values (in μB/f.u.) by entry order: 1.0; 1.0; 0.1; 0.7; 0.0; 0.0; 0.0; 0.0; 0.0; 1.0; 0.0; 0.0.
E values (in eV per cell) by entry order: -16.83; -15.66; -230.48; -110.18; -107.97; -79.38; -115.51; -62.18; -110.41; -183.65; -122.35; -58.45.